Record 1
A relaxed LaYTl4 crystal, computed with PBE.

Results
energy relative to the elements	-0.141	eV per atom

```
data_LaYTl4
_chemical_formula_sum 'La4 Y4 Tl16'
_space_group_name_H-M_alt 'F -4 3 m'
_space_group_IT_number 216
_space_group_name_Hall 'F -4 2 3'
_cell_length_a 8.8710
_cell_length_b 8.8710
_cell_length_c 8.8710
_cell_angle_alpha 90.00
_cell_angle_beta 90.00
_cell_angle_gamma 90.00
loop_
_atom_site_label
_atom_site_fract_x
_atom_site_fract_y
_atom_site_fract_z
La1 0.0000 0.0000 0.0000
Y1 0.2500 0.2500 0.2500
Tl1 0.1249 0.1249 0.6249
```



Record 2
A relaxed Rb2SbH crystal, computed with PBE.

Results
final energy	-2.237	eV per atom

```
data_Rb2SbH
_chemical_formula_sum 'Rb8 Sb4 H4'
_space_group_name_H-M_alt 'I -4 2 d'
_space_group_IT_number 122
_space_group_name_Hall 'I -4 2bw'
_cell_length_a 8.6198
_cell_length_b 8.6198
_cell_length_c 8.7650
_cell_angle_alpha 90.00
_cell_angle_beta 90.00
_cell_angle_gamma 90.00
loop_
_atom_site_label
_atom_site_fract_x
_atom_site_fract_y
_atom_site_fract_z
Rb1 0.1582 0.2500 0.1250
Sb1 0.0000 0.0000 0.5000
H1 0.0000 0.0000 0.0000
```



Record 3
A relaxed LiAcLaCo crystal, computed with PBE.

Results
energy relative to the elements	0.111	eV per atom

```
data_LiAcLaCo
_chemical_formula_sum 'Li4 Ac4 La4 Co4'
_space_group_name_H-M_alt 'F -4 3 m'
_space_group_IT_number 216
_space_group_name_Hall 'F -4 2 3'
_cell_length_a 7.3835
_cell_length_b 7.3835
_cell_length_c 7.3835
_cell_angle_alpha 90.00
_cell_angle_beta 90.00
_cell_angle_gamma 90.00
loop_
_atom_site_label
_atom_site_fract_x
_atom_site_fract_y
_atom_site_fract_z
Li1 0.0000 0.0000 0.0000
Ac1 0.2500 0.2500 0.2500
La1 0.2500 0.2500 0.7500
Co1 0.0000 0.0000 0.5000
```



Record 4
A relaxed ReMo2Se crystal, computed with PBE.

Results
E_form (uncorrected)	5.873	kcal/mol of atoms

```
data_ReMo2Se
_chemical_formula_sum 'Re2 Mo4 Se2'
_space_group_name_H-M_alt 'C 1 m 1'
_space_group_IT_number 8
_cell_length_a 9.2111
_cell_length_b 3.0508
_cell_length_c 4.6708
_cell_angle_alpha 90.00
_cell_angle_beta 104.76
_cell_angle_gamma 90.00
loop_
_space_group_symop_operation_xyz
'x,y,z'
'x,-y,z'
'x+1/2,y+1/2,z'
'x+1/2,-y+1/2,z'
loop_
_atom_site_label
_atom_site_fract_x
_atom_site_fract_y
_atom_site_fract_z
Re1 0.0000 0.0000 0.0000
Mo1 0.2675 0.0000 0.8752
Mo2 0.4883 0.0000 0.4857
Se1 0.2508 0.5000 0.3525
```



Record 5
A relaxed Er3TmTc crystal, computed with PBE.

Results
energy relative to the elements	-0.038	eV per atom

```
data_Er3TmTc
_chemical_formula_sum 'Er12 Tm4 Tc4'
_space_group_name_H-M_alt 'C 1 2/m 1'
_space_group_IT_number 12
_cell_length_a 11.5477
_cell_length_b 8.5599
_cell_length_c 7.7733
_cell_angle_alpha 90.00
_cell_angle_beta 132.23
_cell_angle_gamma 90.00
loop_
_space_group_symop_operation_xyz
'x,y,z'
'-x,-y,-z'
'-x,y,-z'
'x,-y,z'
'x+1/2,y+1/2,z'
'-x+1/2,-y+1/2,-z'
'-x+1/2,y+1/2,-z'
'x+1/2,-y+1/2,z'
loop_
_atom_site_label
_atom_site_fract_x
_atom_site_fract_y
_atom_site_fract_z
Er1 0.0537 0.0000 0.3477
Er2 0.2490 0.3040 0.7933
Tm1 0.0543 0.5000 0.2584
Tc1 0.2504 0.0000 0.8749
```



Record 6
A relaxed LaIn6Ni6 crystal, computed with PBE.

Results
energy relative to the elements	-0.206	eV per atom

```
data_LaIn6Ni6
_chemical_formula_sum 'La2 In12 Ni12'
_space_group_name_H-M_alt 'I m m m'
_space_group_IT_number 71
_space_group_name_Hall '-I 2 2'
_cell_length_a 5.3311
_cell_length_b 9.1044
_cell_length_c 9.3220
_cell_angle_alpha 90.00
_cell_angle_beta 90.00
_cell_angle_gamma 90.00
loop_
_atom_site_label
_atom_site_fract_x
_atom_site_fract_y
_atom_site_fract_z
La1 0.0000 0.0000 0.0000
In1 0.0000 0.0000 0.3445
In2 0.0000 0.3351 0.0000
In3 0.0000 0.5000 0.3150
Ni1 0.0000 0.2634 0.5000
Ni2 0.2500 0.2500 0.2500
```



Record 7
A relaxed TbMg4In15 crystal, computed with PBE.

Results
energy relative to the elements	-0.105	eV per atom

```
data_TbMg4In15
_chemical_formula_sum 'Tb1 Mg4 In15'
_space_group_name_H-M_alt 'P 4/m m m'
_space_group_IT_number 123
_space_group_name_Hall '-P 4 2'
_cell_length_a 4.6360
_cell_length_b 4.6360
_cell_length_c 23.2468
_cell_angle_alpha 90.00
_cell_angle_beta 90.00
_cell_angle_gamma 90.00
loop_
_atom_site_label
_atom_site_fract_x
_atom_site_fract_y
_atom_site_fract_z
Tb1 0.0000 0.0000 0.0000
Mg1 0.0000 0.0000 0.2004
Mg2 0.0000 0.0000 0.3997
In1 0.0000 0.5000 0.1026
In2 0.0000 0.5000 0.3004
In3 0.0000 0.5000 0.5000
In4 0.5000 0.5000 0.0000
In5 0.5000 0.5000 0.2018
In6 0.5000 0.5000 0.4006
```



Record 8
A relaxed GaSbBr3 crystal, computed with PBE.

Results
E_form (uncorrected)	-0.218	kcal/mol of atoms

```
data_GaSbBr3
_chemical_formula_sum 'Ga1 Sb1 Br3'
_space_group_name_H-M_alt 'P m -3 m'
_space_group_IT_number 221
_space_group_name_Hall '-P 4 2 3'
_cell_length_a 5.3415
_cell_length_b 5.3415
_cell_length_c 5.3415
_cell_angle_alpha 90.00
_cell_angle_beta 90.00
_cell_angle_gamma 90.00
loop_
_atom_site_label
_atom_site_fract_x
_atom_site_fract_y
_atom_site_fract_z
Ga1 0.0000 0.0000 0.0000
Sb1 0.5000 0.5000 0.5000
Br1 0.0000 0.0000 0.5000
```



Record 9
A relaxed NaZn11Co crystal, computed with PBE.

Results
energy relative to the elements	-0.030	eV per atom

```
data_NaZn11Co
_chemical_formula_sum 'Na2 Zn22 Co2'
_space_group_name_H-M_alt 'C 1 2/m 1'
_space_group_IT_number 12
_cell_length_a 5.0303
_cell_length_b 12.7112
_cell_length_c 6.7616
_cell_angle_alpha 90.00
_cell_angle_beta 111.30
_cell_angle_gamma 90.00
loop_
_space_group_symop_operation_xyz
'x,y,z'
'-x,-y,-z'
'-x,y,-z'
'x,-y,z'
'x+1/2,y+1/2,z'
'-x+1/2,-y+1/2,-z'
'-x+1/2,y+1/2,-z'
'x+1/2,-y+1/2,z'
loop_
_atom_site_label
_atom_site_fract_x
_atom_site_fract_y
_atom_site_fract_z
Na1 0.0000 0.0000 0.0000
Zn1 0.0000 0.5000 0.5000
Zn2 0.1241 0.3948 0.2181
Zn3 0.1609 0.1689 0.3598
Zn4 0.2500 0.2500 0.0000
Co1 0.0000 0.0000 0.5000
```



Record 10
A relaxed TbScZnOs crystal, computed with PBE.

Results
energy relative to the elements	-0.305	eV per atom

```
data_TbScZnOs
_chemical_formula_sum 'Tb4 Sc4 Zn4 Os4'
_space_group_name_H-M_alt 'F -4 3 m'
_space_group_IT_number 216
_space_group_name_Hall 'F -4 2 3'
_cell_length_a 6.7639
_cell_length_b 6.7639
_cell_length_c 6.7639
_cell_angle_alpha 90.00
_cell_angle_beta 90.00
_cell_angle_gamma 90.00
loop_
_atom_site_label
_atom_site_fract_x
_atom_site_fract_y
_atom_site_fract_z
Tb1 0.0000 0.0000 0.0000
Sc1 0.0000 0.0000 0.5000
Zn1 0.2500 0.2500 0.7500
Os1 0.2500 0.2500 0.2500
```



Record 11
A relaxed MnWS2 crystal, computed with PBE.

Results
E_form (uncorrected)	1.489	kcal/mol of atoms

```
data_MnWS2
_chemical_formula_sum 'Mn4 W4 S8'
_space_group_name_H-M_alt 'I -4 2 d'
_space_group_IT_number 122
_space_group_name_Hall 'I -4 2bw'
_cell_length_a 5.2970
_cell_length_b 5.2970
_cell_length_c 9.7016
_cell_angle_alpha 90.00
_cell_angle_beta 90.00
_cell_angle_gamma 90.00
loop_
_atom_site_label
_atom_site_fract_x
_atom_site_fract_y
_atom_site_fract_z
Mn1 0.0000 0.0000 0.0000
W1 0.0000 0.0000 0.5000
S1 0.2224 0.2500 0.1250
```



Record 12
A relaxed ZrZn6Ag6 crystal, computed with PBE.

Results
energy relative to the elements	-0.060	eV per atom

```
data_ZrZn6Ag6
_chemical_formula_sum 'Zr2 Zn12 Ag12'
_space_group_name_H-M_alt 'I m m m'
_space_group_IT_number 71
_space_group_name_Hall '-I 2 2'
_cell_length_a 5.1502
_cell_length_b 9.1544
_cell_length_c 9.1893
_cell_angle_alpha 90.00
_cell_angle_beta 90.00
_cell_angle_gamma 90.00
loop_
_atom_site_label
_atom_site_fract_x
_atom_site_fract_y
_atom_site_fract_z
Zr1 0.0000 0.0000 0.0000
Zn1 0.0000 0.5000 0.2731
Zn2 0.2500 0.2500 0.2500
Ag1 0.0000 0.0000 0.3445
Ag2 0.0000 0.3142 0.5000
Ag3 0.0000 0.3444 0.0000
```



no.,total moment (μB/f.u.)
1,0.00
2,2.00
3,0.01
4,0.00
5,0.00
6,0.00
7,0.00
8,1.88
9,0.00
10,0.00
11,0.00
12,0.00